1.
This record from Alexandria via LeMat-Bulk describes a relaxed structure of Pd3CBr. The functional is GGA-PBE. Values from VASP.

Geometry as Quantum ESPRESSO input:
```
&SYSTEM
  ibrav = 0, nat = 5, ntyp = 3
/
ATOMIC_SPECIES
Pd 106.42 Pd.upf
C 12.01 C.upf
Br 79.90 Br.upf
ATOMIC_POSITIONS angstrom
Pd 0.000 0.000 2.373
Pd 0.000 2.373 0.000
Pd 2.373 0.000 0.000
C 2.373 2.373 2.373
Br 0.000 0.000 0.000
CELL_PARAMETERS angstrom
4.746 0.000 0.000
0.000 4.746 0.000
0.000 0.000 4.746
```

Results
DFT total energy in eV per atom: -3.410
Formation energy (no corrections) in eV/f.u.: 9.43
Fermi-level density of states in states/eV/atom: 0.8148

***

2.
This record from Alexandria via LeMat-Bulk describes a relaxed structure of PdCBr3. The functional is GGA-PBE. Values from VASP.

Geometry as Quantum ESPRESSO input:
```
&SYSTEM
  ibrav = 0, nat = 5, ntyp = 3
/
ATOMIC_SPECIES
Pd 106.42 Pd.upf
C 12.01 C.upf
Br 79.90 Br.upf
ATOMIC_POSITIONS angstrom
Pd 0.000 0.000 0.000
C 2.363 2.363 2.363
Br 0.000 2.363 2.363
Br 2.363 0.000 2.363
Br 2.363 2.363 0.000
CELL_PARAMETERS angstrom
4.727 0.000 0.000
0.000 4.727 0.000
0.000 0.000 4.727
```

Results
DFT total energy in eV per atom: -2.610
Formation energy (no corrections) in eV/f.u.: 6.39
Fermi-level density of states in states/eV/atom: 1.3590

***

3.
This record from Alexandria via LeMat-Bulk describes a relaxed structure of Pd2CBr. The functional is GGA-PBE. Values from VASP.

Geometry as Quantum ESPRESSO input:
```
&SYSTEM
  ibrav = 0, nat = 16, ntyp = 3
/
ATOMIC_SPECIES
Pd 106.42 Pd.upf
C 12.01 C.upf
Br 79.90 Br.upf
ATOMIC_POSITIONS angstrom
Pd 1.548 1.548 1.548
Pd 1.548 1.548 4.643
Pd 1.548 4.643 1.548
Pd 1.548 4.643 4.643
Pd 4.643 1.548 1.548
Pd 4.643 1.548 4.643
Pd 4.643 4.643 1.548
Pd 4.643 4.643 4.643
C 0.000 0.000 0.000
C 0.000 3.095 3.095
C 3.095 0.000 3.095
C 3.095 3.095 0.000
Br 0.000 0.000 3.095
Br 0.000 3.095 0.000
Br 3.095 0.000 0.000
Br 3.095 3.095 3.095
CELL_PARAMETERS angstrom
6.190 0.000 0.000
0.000 6.190 0.000
0.000 0.000 6.190
```

Results
DFT total energy in eV per atom: -4.009
Formation energy (no corrections) in eV/f.u.: 5.25
Fermi-level density of states in states/eV/atom: 0.4235

***

4.
This record from Alexandria via LeMat-Bulk describes a relaxed structure of Pd3CBr. The functional is GGA-PBE. Values from VASP.

Geometry as Quantum ESPRESSO input:
```
&SYSTEM
  ibrav = 0, nat = 5, ntyp = 3
/
ATOMIC_SPECIES
Pd 106.42 Pd.upf
C 12.01 C.upf
Br 79.90 Br.upf
ATOMIC_POSITIONS angstrom
Pd 0.000 0.000 2.128
Pd 0.000 2.128 0.000
Pd 2.128 0.000 0.000
C 0.000 0.000 0.000
Br 2.128 2.128 2.128
CELL_PARAMETERS angstrom
4.257 0.000 0.000
0.000 4.257 0.000
0.000 0.000 4.257
```

Results
DFT total energy in eV per atom: -4.894
Formation energy (no corrections) in eV/f.u.: 2.01
Fermi-level density of states in states/eV/atom: 0.3373

***

5.
This record from Alexandria via LeMat-Bulk describes a relaxed structure of PdCBr3. The functional is GGA-PBE. Values from VASP.

Geometry as Quantum ESPRESSO input:
```
&SYSTEM
  ibrav = 0, nat = 5, ntyp = 3
/
ATOMIC_SPECIES
Pd 106.42 Pd.upf
C 12.01 C.upf
Br 79.90 Br.upf
ATOMIC_POSITIONS angstrom
Pd 0.000 0.000 0.000
C 2.557 2.557 2.557
Br 0.000 0.000 2.557
Br 0.000 2.557 0.000
Br 2.557 0.000 0.000
CELL_PARAMETERS angstrom
5.113 0.000 0.000
0.000 5.113 0.000
0.000 0.000 5.113
```

Results
DFT total energy in eV per atom: -2.487
Formation energy (no corrections) in eV/f.u.: 7.00
Fermi-level density of states in states/eV/atom: 1.1658

***

6.
This record from Alexandria via LeMat-Bulk describes a relaxed structure of Pd2CBr. The functional is GGA-PBE. Values from VASP.

Geometry as Quantum ESPRESSO input:
```
&SYSTEM
  ibrav = 0, nat = 16, ntyp = 3
/
ATOMIC_SPECIES
Pd 106.42 Pd.upf
C 12.01 C.upf
Br 79.90 Br.upf
ATOMIC_POSITIONS angstrom
Pd 0.831 1.476 1.038
Pd 1.476 3.782 3.114
Pd 1.476 5.071 7.267
Pd 2.120 1.476 5.191
Pd 3.782 4.427 5.191
Pd 4.427 0.831 7.267
Pd 4.427 2.120 3.114
Pd 5.071 4.427 1.038
C 0.000 0.000 0.000
C 0.000 2.951 2.076
C 2.951 0.000 6.229
C 2.951 2.951 4.152
Br 0.000 0.000 4.152
Br 0.000 2.951 6.229
Br 2.951 0.000 2.076
Br 2.951 2.951 0.000
CELL_PARAMETERS angstrom
5.902 0.000 0.000
0.000 5.902 0.000
0.000 0.000 8.305
```

Results
DFT total energy in eV per atom: -4.813
Formation energy (no corrections) in eV/f.u.: 2.03
Fermi-level density of states in states/eV/atom: 0.6169

***

Question: Among the records above, which one has the highest Fermi-level density of states?
Answer: number 2

***

Question: What is the formula in the third record?
Answer: Pd2CBr

***

Question: Number 4 is which compound?
Answer: Pd3CBr